[1]
Al2TlCuSe4 | PBE | optimized geometry

Cell lengths 7.6848, 7.6833, 5.7249 Å; angles 68.14, 68.11, 43.74 degrees
Element x y z (fractional)
Al  0.0000  0.0000  0.5000
Al  0.5000  0.5000  0.0000
Tl  0.2497  0.2497  0.7503
Cu  0.7502  0.7502  0.2498
Se  0.1076  0.6829  0.8924
Se  0.3929  0.8166  0.1834
Se  0.6829  0.1076  0.3171
Se  0.8166  0.3929  0.6071

Values from the calculation:
As for the space group: No. 42.

[2]
ScRu6 | PBE | optimized geometry

Cell lengths 5.7736, 5.7736, 5.7736 Å; angles 109.47, 109.47, 109.47 degrees
Element x y z (fractional)
Sc  0.0000  0.0000  0.0000
Ru  0.2500  0.5000  0.7500
Ru  0.2500  0.7500  0.5000
Ru  0.5000  0.2500  0.7500
Ru  0.5000  0.7500  0.2500
Ru  0.7500  0.2500  0.5000
Ru  0.7500  0.5000  0.2500

Values from the calculation:
As for the space group: No. 229. The calculation puts the energy of formation from the pure elements at 0.915 eV/atom.

[3]
GaI2Br | PBE | optimized geometry

Cell lengths 4.7452, 5.9752, 6.6993 Å; angles 88.14, 71.91, 73.98 degrees
Element x y z (fractional)
Ga  0.0000  0.0000  0.0000
I  0.5510  0.8827  0.4855
I  0.5712  0.5761  0.1625
Br  0.5194  0.2182  0.7997

Values from the calculation:
As for the space group: No. 1. The calculation puts the energy above the most stable polymorph in this dataset at 1.27 eV/f.u.

[4]
K8Pb2Au | PBE | optimized geometry

Cell lengths 11.2473, 11.2473, 8.1600 Å; angles 110.33, 110.33, 31.88 degrees
Element x y z (fractional)
K  0.0141  0.0141  0.2733
K  0.2153  0.2153  0.7958
K  0.3394  0.3394  0.5395
K  0.4042  0.4042  0.0667
K  0.5958  0.5958  0.9333
K  0.6606  0.6606  0.4605
K  0.7847  0.7847  0.2042
K  0.9859  0.9859  0.7267
Pb  0.1659  0.1659  0.1835
Pb  0.8341  0.8341  0.8165
Au  0.5000  0.5000  0.5000

Values from the calculation:
As for the space group: No. 12. The calculation puts the energy of formation from the pure elements at -0.118 eV/atom.

[5]
Nb2Co4B | PBE | optimized geometry

Cell lengths 7.0365, 7.0365, 7.0365 Å; angles 149.65, 149.65, 43.46 degrees
Element x y z (fractional)
Nb  0.1667  0.1667  0.0000
Nb  0.8333  0.8333  0.0000
Co  0.0000  0.5000  0.5000
Co  0.3545  0.3545  0.0000
Co  0.5000  0.0000  0.5000
Co  0.6455  0.6455  0.0000
B  0.5000  0.5000  0.0000

Values from the calculation:
As for the space group: No. 139. The calculation puts the energy of formation from the pure elements at -0.004 eV/atom.

[6]
K2HSe2 | PBE | optimized geometry

Cell lengths 5.6835, 5.6835, 5.6835 Å; angles 109.65, 109.65, 109.10 degrees
Element x y z (fractional)
K  0.2500  0.7500  0.5000
K  0.7500  0.2500  0.5000
H  0.0000  0.0000  0.0000
Se  0.2687  0.2687  0.0000
Se  0.7313  0.7313  0.0000

Values from the calculation:
As for the space group: No. 139. The calculation puts the energy above the most stable polymorph in this dataset at 1.08 eV/f.u.

[7]
Cd2PdPb2 | PBE | optimized geometry

Cell lengths 7.3383, 7.3383, 4.9002 Å; angles 90.00, 90.00, 90.00 degrees
Element x y z (fractional)
Cd  0.1559  0.3441  0.0000
Cd  0.3441  0.8441  0.0000
Cd  0.6559  0.1559  0.0000
Cd  0.8441  0.6559  0.0000
Pd  0.0000  0.0000  0.5000
Pd  0.5000  0.5000  0.5000
Pb  0.1591  0.6591  0.5000
Pb  0.3409  0.1591  0.5000
Pb  0.6591  0.8409  0.5000
Pb  0.8409  0.3409  0.5000

Values from the calculation:
As for the space group: No. 127. The calculation puts the energy of formation from the pure elements at 0.079 eV/atom. The calculation puts the energy above the most stable polymorph in this dataset at 0.21 eV/f.u.

[8]
Tm6GeTe3C2 | PBE | optimized geometry

Cell lengths 9.1415, 9.1415, 8.3576 Å; angles 106.43, 106.43, 24.49 degrees
Element x y z (fractional)
Tm  0.0254  0.0254  0.2504
Tm  0.3171  0.3171  0.4486
Tm  0.3325  0.3325  0.8644
Tm  0.6675  0.6675  0.1356
Tm  0.6829  0.6829  0.5514
Tm  0.9746  0.9746  0.7496
Ge  0.5000  0.5000  0.0000
Te  0.1605  0.1605  0.8320
Te  0.5000  0.5000  0.5000
Te  0.8395  0.8395  0.1680
C  0.1724  0.1724  0.3434
C  0.8276  0.8276  0.6566

Values from the calculation:
As for the space group: No. 12.

[9]
Cs2LaZrGa | PBE | optimized geometry

Cell lengths 7.0313, 7.0313, 5.3622 Å; angles 90.00, 90.00, 90.00 degrees
Element x y z (fractional)
Cs  0.0000  0.5000  0.0000
Cs  0.5000  0.0000  0.0000
La  0.0000  0.0000  0.0000
Zr  0.0000  0.0000  0.5000
Ga  0.5000  0.5000  0.5000

Values from the calculation:
As for the space group: No. 123. The calculation puts the energy of formation from the pure elements at 1.149 eV/atom.

[10]
Rb3Pd12S5 | PBE | optimized geometry

Cell lengths 13.8001, 13.8001, 13.8001 Å; angles 109.47, 109.47, 109.47 degrees
Element x y z (fractional)
Rb  0.1250  0.2500  0.3750
Rb  0.1250  0.3750  0.7500
Rb  0.2500  0.3750  0.1250
Rb  0.2500  0.8750  0.6250
Rb  0.3750  0.1250  0.2500
Rb  0.3750  0.7500  0.1250
Rb  0.6250  0.2500  0.8750
Rb  0.6250  0.8750  0.7500
Rb  0.7500  0.1250  0.3750
Rb  0.7500  0.6250  0.8750
Rb  0.8750  0.6250  0.2500
Rb  0.8750  0.7500  0.6250
Pd  0.0320  0.5821  0.8754
Pd  0.0320  0.9498  0.1566
Pd  0.0502  0.7067  0.0821
Pd  0.0502  0.8434  0.9680
Pd  0.0821  0.0502  0.7067
Pd  0.0821  0.5320  0.3754
Pd  0.1246  0.6566  0.7067
Pd  0.1246  0.9680  0.4179
Pd  0.1566  0.0320  0.9498
Pd  0.1566  0.6246  0.2067
Pd  0.2067  0.1566  0.6246
Pd  0.2067  0.5502  0.5821
Pd  0.2933  0.8754  0.3434
Pd  0.2933  0.9179  0.9498
Pd  0.3434  0.2933  0.8754
Pd  0.3434  0.5502  0.4680
Pd  0.3754  0.0821  0.5320
Pd  0.3754  0.7933  0.8434
Pd  0.4179  0.1246  0.9680
Pd  0.4179  0.7933  0.4498
Pd  0.4498  0.4179  0.7933
Pd  0.4498  0.5320  0.6566
Pd  0.4680  0.3434  0.5502
Pd  0.4680  0.6246  0.9179
Pd  0.5320  0.3754  0.0821
Pd  0.5320  0.6566  0.4498
Pd  0.5502  0.4680  0.3434
Pd  0.5502  0.5821  0.2067
Pd  0.5821  0.2067  0.5502
Pd  0.5821  0.8754  0.0320
Pd  0.6246  0.2067  0.1566
Pd  0.6246  0.9179  0.4680
Pd  0.6566  0.4498  0.5320
Pd  0.6566  0.7067  0.1246
Pd  0.7067  0.0821  0.0502
Pd  0.7067  0.1246  0.6566
Pd  0.7933  0.4498  0.4179
Pd  0.7933  0.8434  0.3754
Pd  0.8434  0.3754  0.7933
Pd  0.8434  0.9680  0.0502
Pd  0.8754  0.0320  0.5821
Pd  0.8754  0.3434  0.2933
Pd  0.9179  0.4680  0.6246
Pd  0.9179  0.9498  0.2933
Pd  0.9498  0.1566  0.0320
Pd  0.9498  0.2933  0.9179
Pd  0.9680  0.0502  0.8434
Pd  0.9680  0.4179  0.1246
S  0.0000  0.0000  0.0000
S  0.0000  0.0000  0.5000
S  0.0000  0.5000  0.0000
S  0.0000  0.5000  0.5000
S  0.1250  0.7500  0.8750
S  0.1250  0.8750  0.2500
S  0.2500  0.1250  0.8750
S  0.2500  0.6250  0.3750
S  0.3750  0.2500  0.6250
S  0.3750  0.6250  0.7500
S  0.5000  0.0000  0.0000
S  0.5000  0.0000  0.5000
S  0.5000  0.5000  0.0000
S  0.5000  0.5000  0.5000
S  0.6250  0.3750  0.2500
S  0.6250  0.7500  0.3750
S  0.7500  0.3750  0.6250
S  0.7500  0.8750  0.1250
S  0.8750  0.1250  0.7500
S  0.8750  0.2500  0.1250

Values from the calculation:
As for the space group: No. 230.

[11]
AcEuTl2 | PBE | optimized geometry

Cell lengths 10.5651, 10.5651, 10.5651 Å; angles 21.94, 21.94, 21.94 degrees
Element x y z (fractional)
Ac  0.0000  0.0000  0.0000
Eu  0.5000  0.5000  0.5000
Tl  0.2473  0.2473  0.2473
Tl  0.7527  0.7527  0.7527

Values from the calculation:
As for the space group: No. 166. The calculation puts the energy of formation from the pure elements at -0.249 eV/atom.

[12]
Eu2PdN | PBE | optimized geometry

Cell lengths 7.6406, 7.6406, 7.6406 Å; angles 27.31, 27.31, 27.31 degrees
Element x y z (fractional)
Eu  0.2307  0.2307  0.2307
Eu  0.7693  0.7693  0.7693
Pd  0.0000  0.0000  0.0000
N  0.5000  0.5000  0.5000

Values from the calculation:
As for the space group: No. 166. The calculation puts the energy above the most stable polymorph in this dataset at 0.00 eV/f.u.

[13]
NiIrPt2 | PBE | optimized geometry

Cell lengths 4.6973, 4.6973, 4.6973 Å; angles 131.38, 131.38, 71.20 degrees
Element x y z (fractional)
Ni  0.0000  0.0000  0.0000
Ir  0.7500  0.2500  0.5000
Pt  0.2500  0.7500  0.5000
Pt  0.5000  0.5000  0.0000

Values from the calculation:
As for the space group: No. 119. The calculation puts the energy of formation from the pure elements at 0.010 eV/atom. The calculation puts the energy above the most stable polymorph in this dataset at 0.14 eV/f.u.

[14]
Er7Al2Hg2 | PBE | optimized geometry

Cell lengths 6.6544, 6.6544, 7.5776 Å; angles 90.00, 90.00, 109.50 degrees
Element x y z (fractional)
Er  0.0000  0.0000  0.0000
Er  0.0000  0.5000  0.2889
Er  0.0000  0.5000  0.7111
Er  0.5000  0.0000  0.2889
Er  0.5000  0.0000  0.7111
Er  0.5000  0.5000  0.2712
Er  0.5000  0.5000  0.7288
Al  0.1699  0.1699  0.5000
Al  0.8301  0.8301  0.5000
Hg  0.2927  0.7073  0.0000
Hg  0.7073  0.2927  0.0000

Values from the calculation:
As for the space group: No. 65. The calculation puts the energy of formation from the pure elements at -0.040 eV/atom.

[15]
Nb2AlFe2Co5 | PBE | optimized geometry

Cell lengths 8.2533, 8.2533, 3.7168 Å; angles 90.00, 90.00, 90.00 degrees
Element x y z (fractional)
Nb  0.1667  0.3333  0.0000
Nb  0.3333  0.8333  0.0000
Nb  0.6667  0.1667  0.0000
Nb  0.8333  0.6667  0.0000
Al  0.0000  0.0000  0.0000
Al  0.5000  0.5000  0.0000
Fe  0.1314  0.6314  0.0000
Fe  0.3686  0.1314  0.0000
Fe  0.6314  0.8686  0.0000
Fe  0.8686  0.3686  0.0000
Co  0.0000  0.5000  0.5000
Co  0.0703  0.7969  0.5000
Co  0.2031  0.0703  0.5000
Co  0.2969  0.5702  0.5000
Co  0.4298  0.2969  0.5000
Co  0.5000  0.0000  0.5000
Co  0.5702  0.7031  0.5000
Co  0.7031  0.4298  0.5000
Co  0.7969  0.9298  0.5000
Co  0.9298  0.2031  0.5000

Values from the calculation:
As for the space group: No. 127. The calculation puts the energy of formation from the pure elements at -0.077 eV/atom.

[16]
SrBe2Nb | PBE | optimized geometry

Cell lengths 6.0943, 6.0943, 6.0943 Å; angles 107.46, 107.46, 113.57 degrees
Element x y z (fractional)
Sr  0.0000  0.0000  0.0000
Sr  0.7500  0.2500  0.5000
Be  0.1909  0.6250  0.0659
Be  0.3750  0.4409  0.5659
Be  0.5591  0.1250  0.9341
Be  0.8750  0.8091  0.4341
Nb  0.2500  0.7500  0.5000
Nb  0.5000  0.5000  0.0000

Values from the calculation:
As for the space group: No. 122. The calculation puts the energy of formation from the pure elements at 0.998 eV/atom. The calculation puts the energy above the most stable polymorph in this dataset at 0.72 eV/f.u.

[17]
Ga2AsPb2 | PBE | optimized geometry

Cell lengths 8.6444, 8.6444, 3.4703 Å; angles 90.00, 90.00, 90.00 degrees
Element x y z (fractional)
Ga  0.1085  0.3915  0.0000
Ga  0.3915  0.8915  0.0000
Ga  0.6085  0.1085  0.0000
Ga  0.8915  0.6085  0.0000
As  0.0000  0.0000  0.5000
As  0.5000  0.5000  0.5000
Pb  0.1929  0.6929  0.5000
Pb  0.3071  0.1929  0.5000
Pb  0.6929  0.8071  0.5000
Pb  0.8071  0.3071  0.5000

Values from the calculation:
As for the space group: No. 127. The calculation puts the energy of formation from the pure elements at 0.231 eV/atom. The calculation puts the energy above the most stable polymorph in this dataset at 0.76 eV/f.u.

[18]
KHI2O | PBE | optimized geometry

Cell lengths 4.6663, 4.6663, 6.6829 Å; angles 90.00, 90.00, 90.00 degrees
Element x y z (fractional)
K  0.0000  0.0000  0.0000
H  0.5000  0.5000  0.5000
I  0.0000  0.5000  0.5000
I  0.5000  0.0000  0.5000
O  0.5000  0.5000  0.0000

Values from the calculation:
As for the space group: No. 123. The calculation puts the energy above the most stable polymorph in this dataset at 0.00 eV/f.u.

[19]
HfVTcRh | PBE | optimized geometry

Cell lengths 4.4548, 4.4548, 4.4548 Å; angles 60.00, 60.00, 60.00 degrees
Element x y z (fractional)
Hf  0.0000  0.0000  0.0000
V  0.5000  0.5000  0.5000
Tc  0.2500  0.2500  0.2500
Rh  0.7500  0.7500  0.7500

Values from the calculation:
As for the space group: No. 216. The calculation puts the energy of formation from the pure elements at -0.454 eV/atom.

[20]
Nd3Zn2Pd4 | PBE | optimized geometry

Cell lengths 5.9441, 5.9441, 8.7918 Å; angles 112.21, 112.21, 43.19 degrees
Element x y z (fractional)
Nd  0.0000  0.0000  0.0000
Nd  0.3577  0.3577  0.3096
Nd  0.6423  0.6423  0.6904
Zn  0.3431  0.3431  0.6753
Zn  0.6569  0.6569  0.3247
Pd  0.0842  0.0842  0.4142
Pd  0.2877  0.2877  0.9323
Pd  0.7123  0.7123  0.0677
Pd  0.9158  0.9158  0.5858

Values from the calculation:
As for the space group: No. 12. The calculation puts the energy of formation from the pure elements at -0.715 eV/atom. The calculation puts the energy above the most stable polymorph in this dataset at 0.00 eV/f.u.

[21]
AlSbRh2 | PBE | optimized geometry

Cell lengths 4.3760, 4.3760, 5.2392 Å; angles 102.10, 102.10, 41.98 degrees
Element x y z (fractional)
Al  0.0000  0.0000  0.0000
Sb  0.5000  0.5000  0.5000
Rh  0.2552  0.2552  0.7600
Rh  0.7448  0.7448  0.2400

Values from the calculation:
As for the space group: No. 12.

no.,DFT total energy (eV for the cell shown)
1,-31.9
2,-55.6
3,-8.7
4,-20.8
5,-55.3
6,-15.3
7,-28.1
8,-70.5
9,-12.5
10,-360.6
11,-20.1
12,-36.9
13,-26.7
14,-40.5
15,-154.2
16,-30.4
17,-33.9
18,-11.4
19,-38.6
20,-44.1
21,-24.3